Density functional theory data (PBE with a Hubbard U) for a relaxed Ni2AsRuO6 crystal.

Values from the calculation:
volume = 122 Å³ per cell
space group = No. 99
E = -55.1 eV/f.u.

Geometry as CIF:
```
data_Ni2AsRuO6
_cell_length_a 3.7420
_cell_length_b 5.7174
_cell_length_c 5.7174
_cell_angle_alpha 90.00
_cell_angle_beta 90.00
_cell_angle_gamma 90.00
_space_group_name_H-M_alt 'P 1'
_space_group_IT_number 1
loop_
_space_group_symop_operation_xyz
'x,y,z'
loop_
_atom_site_label
_atom_site_type_symbol
_atom_site_fract_x
_atom_site_fract_y
_atom_site_fract_z
_atom_site_occupancy
O1 O 0.2111 0.0000 0.0000 1
Ni1 Ni 0.8437 0.0000 0.5000 1
O2 O 0.7474 0.7599 0.2401 1
O3 O 0.7474 0.7599 0.7599 1
O4 O 0.7474 0.2401 0.7599 1
Ru1 Ru 0.6865 0.5000 0.5000 1
O5 O 0.7474 0.2401 0.2401 1
As1 As 0.6804 0.0000 0.0000 1
O6 O 0.1921 0.5000 0.5000 1
Ni2 Ni 0.8437 0.5000 0.0000 1
```